# SiSb, optimized geometry, DFT PBEsol
data_SiSb
_chemical_formula_sum 'Si6 Sb6'
_space_group_name_H-M_alt 'C 1 m 1'
_space_group_IT_number 8
_cell_length_a 11.534
_cell_length_b 3.708
_cell_length_c 7.190
_cell_angle_alpha 90.00
_cell_angle_beta 109.90
_cell_angle_gamma 90.00
loop_
_space_group_symop_operation_xyz
'x,y,z'
'x,-y,z'
'x+1/2,y+1/2,z'
'x+1/2,-y+1/2,z'
loop_
_atom_site_label
_atom_site_type_symbol
_atom_site_fract_x
_atom_site_fract_y
_atom_site_fract_z
Si1 Si 0.000 0.000 0.000
Si2 Si 0.014 0.500 0.545
Si3 Si 0.162 0.000 0.660
Sb1 Sb 0.174 0.500 0.982
Sb2 Sb 0.350 0.500 0.626
Sb3 Sb 0.398 0.000 0.160
# * DOS at the Fermi energy: 0.436 states/eV/atom
# * formation energy without anion corrections: 327 meV/atom